Entry from Alexandria via LeMat-Bulk: an optimized crystal structure of Tb3NdRu8 (PBE-GGA).

M_tot ... 0.001 μB per formula unit
Uncorrected energy ... -287.30 eV for the cell shown
DOS at the Fermi energy ... 46.07 states/eV per cell

Unit cell a=5.3533 b=5.3533 c=26.4289 alpha=90.00 beta=90.00 gamma=120.00
Space group R3m (No. 160, hexagonal axes)
One atom of each set of equivalent atoms:
Tb1 0.0000 0.0000 0.0000 [3 per cell]
Tb2 0.0000 0.0000 0.1245 [3 per cell]
Tb3 0.0000 0.0000 0.6247 [3 per cell]
Nd1 0.0000 0.0000 0.4995 [3 per cell]
Ru1 0.0000 0.0000 0.3126 [3 per cell]
Ru2 0.0000 0.0000 0.8123 [3 per cell]
Ru3 0.0016 0.5008 0.5634 [9 per cell]
Ru4 0.1681 0.3363 0.3945 [9 per cell]